14
Lattice="-4.446 1.420 -0.916 -4.335 -3.184 3.756 -2.411 8.072 11.857" Properties=species:S:1:pos:R:3 comment="Na3AgTe3 | Alexandria via LeMat-Bulk | PBE-GGA | relaxed" magmom_total_mub_per_fu=0.00 energy_ev_per_cell=-40.75 formation_energy_uncorrected_kj_per_mol_atoms=-57.1 rho_g_cm3=4.62 vol_a3_per_atom=28.706 pbc="T T T"
Te -2.740 5.636 9.681
Ag -4.655 4.031 4.143
Na -8.331 5.198 11.440
Ag -6.537 2.277 10.554
Te -8.452 0.672 5.016
Na -6.029 1.565 6.987
Te -8.269 3.679 8.789
Na -2.861 1.110 3.257
Te -2.923 2.628 5.908
Na -5.131 7.161 11.303
Na -5.163 4.743 7.710
Te -6.221 5.285 13.686
Te -4.970 1.022 1.011
Na -6.060 -0.853 3.395

11
Lattice="-2.199 0.723 -8.752 8.584 -5.244 0.282 -2.213 -3.412 3.923" Properties=species:S:1:pos:R:3 comment="Tb3Pm7Dy | Alexandria via LeMat-Bulk | PBE-GGA | relaxed" magmom_total_mub_per_fu=0.00 energy_ev_per_cell=-50.43 rho_g_cm3=7.30 vol_a3_per_atom=34.198 delta_e_f_ev_per_atom=0.12 pbc="T T T"
Pm 3.082 -6.805 -4.181
Pm 1.190 -4.087 1.187
Tb -2.331 -0.390 -5.727
Tb 4.292 -2.622 0.141
Pm 2.982 -3.845 -5.732
Pm 3.415 -6.371 0.454
Dy 2.086 -3.966 -2.273
Pm 0.757 -1.561 -5.000
Pm 1.090 -1.127 -0.365
Tb 6.503 -7.542 1.181
Pm -2.206 -1.344 -2.414

Which formula does entry 2 have?
Tb3Pm7Dy